Entry 1
CuTcRu2 | PBE | relaxed

## Properties
The total magnetic moment comes out at 0.002 μB per cell. The symmetry is P4/mmm, No. 123.

```
data_CuTcRu2
_chemical_formula_sum 'Cu1 Tc1 Ru2'
_space_group_name_H-M_alt 'P 1'
_space_group_IT_number 1
_cell_length_a 4.434
_cell_length_b 4.434
_cell_length_c 2.837
_cell_angle_alpha 90.00
_cell_angle_beta 90.00
_cell_angle_gamma 90.00
loop_
_space_group_symop_operation_xyz
'x,y,z'
loop_
_atom_site_label
_atom_site_fract_x
_atom_site_fract_y
_atom_site_fract_z
Cu1 0.000 0.000 0.000
Tc1 0.500 0.500 0.000
Ru1 0.000 0.500 0.500
Ru2 0.500 0.000 0.500
```

=====

Entry 2
CuTcRu2 | PBE | relaxed

## Properties
The total magnetic moment comes out at 0.000 μB per cell. The symmetry is I-42d, No. 122.

```
data_CuTcRu2
_chemical_formula_sum 'Cu2 Tc2 Ru4'
_space_group_name_H-M_alt 'P 1'
_space_group_IT_number 1
_cell_length_a 5.546
_cell_length_b 5.546
_cell_length_c 5.546
_cell_angle_alpha 103.18
_cell_angle_beta 103.18
_cell_angle_gamma 122.96
loop_
_space_group_symop_operation_xyz
'x,y,z'
loop_
_atom_site_label
_atom_site_fract_x
_atom_site_fract_y
_atom_site_fract_z
Cu1 0.000 0.000 0.000
Cu2 0.750 0.250 0.500
Tc1 0.250 0.750 0.500
Tc2 0.500 0.500 0.000
Ru1 0.161 0.625 0.036
Ru2 0.375 0.411 0.536
Ru3 0.589 0.125 0.964
Ru4 0.875 0.839 0.464
```

=====

Which structure is most stable, and how do the rest compare? From most to least stable: entry 1, entry 2.